A geometry-optimized Sc2BeBr structure, computed with PBEsol.

Its spin magnetization is 0.0 μB/f.u. The calculation puts the density of states at the Fermi level at 0.7017 states/eV/atom. The value obtained for the uncorrected formation energy is -0.37 eV per atom.

a = 3.373 Å, b = 4.188 Å, c = 5.289 Å
α = 90.00°, β = 90.00°, γ = 90.00°
Sites, in units of the cell vectors:
Sc (0.000, 0.000, 0.000)
Sc (0.500, 0.500, 0.500)
Be (0.000, 0.000, 0.500)
Br (0.500, 0.500, 0.000)

***

A geometry-optimized ScBe2Br structure, computed with PBEsol.

Its spin magnetization is 0.0 μB/f.u. The calculation puts the density of states at the Fermi level at 0.5360 states/eV/atom. The value obtained for the uncorrected formation energy is 0.12 eV per atom.

a = 3.161 Å, b = 3.958 Å, c = 5.366 Å
α = 90.00°, β = 90.00°, γ = 90.00°
Sites, in units of the cell vectors:
Sc (0.000, 0.000, 0.000)
Be (0.500, 0.000, 0.367)
Be (0.500, 0.500, 0.242)
Br (0.500, 0.500, 0.745)

***

A geometry-optimized Sc2BeBr structure, computed with PBEsol.

Its spin magnetization is 0.7 μB/f.u. The calculation puts the density of states at the Fermi level at 0.8995 states/eV/atom. The value obtained for the uncorrected formation energy is -0.05 eV per atom.

a = 9.249 Å, b = 9.249 Å, c = 9.249 Å
α = 20.75°, β = 20.75°, γ = 20.75°
Sites, in units of the cell vectors:
Sc (0.000, 0.000, 0.000)
Sc (0.239, 0.239, 0.239)
Be (0.737, 0.737, 0.737)
Br (0.503, 0.503, 0.503)

***

Q: Look up the spin magnetization of the first one.
A: 0.0 μB/f.u.